(1)
Density functional theory data (PBE) for CuMoCl after structural relaxation.

Lattice parameters (Å, degrees): 4.3105 4.3105 2.7956 90.00 90.00 120.00
Space group P-6m2 (No. 187)
Symmetry-distinct sites (fractional):
Cu 0.0000 0.0000 0.0000 [1 per cell]
Mo 0.6667 0.3333 0.5000 [1 per cell]
Cl 0.3333 0.6667 0.5000 [1 per cell]

Summary:
**Raw total energy**: -4.974 eV/atom
**Energy above the lowest structure with this stoichiometry**: 38.3 kJ/mol of atoms
**Crystal system**: hexagonal
**Formation energy without anion corrections**: 1.852 eV per formula unit
**Size of the total moment**: 0.0 Bohr magnetons per cell
**DOS at the Fermi energy**: 3.22 states/eV/cell

(2)
Density functional theory data (PBE) for CuMo2Cl after structural relaxation.

Lattice parameters (Å, degrees): 3.233 3.233 6.440 90.00 90.00 90.00
Space group P4mm (No. 99)
Symmetry-distinct sites (fractional):
Cu 0.000 0.000 0.000 [1 per cell]
Mo 0.000 0.000 0.417 [1 per cell]
Mo 0.500 0.500 0.221 [1 per cell]
Cl 0.500 0.500 0.788 [1 per cell]

Summary:
**Raw total energy**: -6.512 eV/atom
**Energy above the lowest structure with this stoichiometry**: 14.7 kJ/mol of atoms
**Crystal system**: tetragonal
**Formation energy without anion corrections**: 1.556 eV per formula unit
**Size of the total moment**: 0.0 Bohr magnetons per cell
**DOS at the Fermi energy**: 2.38 states/eV/cell

(3)
Density functional theory data (PBE) for Cu2MoCl after structural relaxation.

Lattice parameters (Å, degrees): 7.177 7.177 4.962 90.00 90.00 90.00
Space group I-42d (No. 122)
Symmetry-distinct sites (fractional):
Cu 0.233 0.250 0.125 [8 per cell]
Mo 0.000 0.000 0.500 [4 per cell]
Cl 0.000 0.000 0.000 [4 per cell]

Summary:
**Raw total energy**: -4.506 eV/atom
**Energy above the lowest structure with this stoichiometry**: 49.7 kJ/mol of atoms
**Crystal system**: tetragonal
**Formation energy without anion corrections**: 2.847 eV per formula unit
**Size of the total moment**: 11.7 Bohr magnetons per cell
**DOS at the Fermi energy**: 3.48 states/eV/cell

(4)
Density functional theory data (PBE) for CuMo2Cl after structural relaxation.

Lattice parameters (Å, degrees): 2.8825 2.8825 26.9097 90.00 90.00 120.00
Space group R3m (No. 160, hexagonal axes)
Symmetry-distinct sites (fractional):
Cu 0.0000 0.0000 0.0000 [3 per cell]
Mo 0.0000 0.0000 0.2560 [3 per cell]
Mo 0.0000 0.0000 0.5019 [3 per cell]
Cl 0.0000 0.0000 0.7662 [3 per cell]

Summary:
**Raw total energy**: -6.628 eV/atom
**Energy above the lowest structure with this stoichiometry**: 3.5 kJ/mol of atoms
**Crystal system**: trigonal
**Formation energy without anion corrections**: 1.092 eV per formula unit
**Size of the total moment**: 0.0 Bohr magnetons per cell
**DOS at the Fermi energy**: 6.62 states/eV/cell

(5)
Density functional theory data (PBE) for CuMo2Cl after structural relaxation.

Lattice parameters (Å, degrees): 8.718 2.864 5.001 90.00 102.23 90.00
Space group C2/m (No. 12)
Symmetry-distinct sites (fractional):
Cu 0.000 0.000 0.000 [2 per cell]
Mo 0.247 0.000 0.768 [4 per cell]
Cl 0.000 0.500 0.500 [2 per cell]

Summary:
**Raw total energy**: -6.274 eV/atom
**Energy above the lowest structure with this stoichiometry**: 37.7 kJ/mol of atoms
**Crystal system**: monoclinic
**Formation energy without anion corrections**: 2.509 eV per formula unit
**Size of the total moment**: 0.0 Bohr magnetons per cell
**DOS at the Fermi energy**: 7.67 states/eV/cell

(6)
Density functional theory data (PBE) for CuMoCl2 after structural relaxation.

Lattice parameters (Å, degrees): 3.178 3.256 7.913 90.00 101.16 90.00
Space group Pm (No. 6)
Symmetry-distinct sites (fractional):
Cu 0.000 0.000 0.000 [1 per cell]
Mo 0.582 0.500 0.171 [1 per cell]
Cl 0.425 0.500 0.845 [1 per cell]
Cl 0.691 0.000 0.399 [1 per cell]

Summary:
**Raw total energy**: -4.769 eV/atom
**Energy above the lowest structure with this stoichiometry**: 0.0 kJ/mol of atoms
**Crystal system**: monoclinic
**Formation energy without anion corrections**: -0.453 eV per formula unit
**Size of the total moment**: 0.0 Bohr magnetons per cell
**DOS at the Fermi energy**: 3.02 states/eV/cell

(7)
Density functional theory data (PBE) for Cu2MoCl after structural relaxation.

Lattice parameters (Å, degrees): 2.802 2.834 7.729 90.00 90.14 90.00
Space group P2/m (No. 10)
Symmetry-distinct sites (fractional):
Cu 0.002 0.000 0.242 [2 per cell]
Mo 0.500 0.500 0.000 [1 per cell]
Cl 0.000 0.500 0.500 [1 per cell]

Summary:
**Raw total energy**: -4.945 eV/atom
**Energy above the lowest structure with this stoichiometry**: 7.3 kJ/mol of atoms
**Crystal system**: monoclinic
**Formation energy without anion corrections**: 1.091 eV per formula unit
**Size of the total moment**: 0.0 Bohr magnetons per cell
**DOS at the Fermi energy**: 3.94 states/eV/cell

(8)
Density functional theory data (PBE) for CuMo2Cl after structural relaxation.

Lattice parameters (Å, degrees): 3.717 3.717 4.578 90.00 90.00 90.00
Space group P4/mmm (No. 123)
Symmetry-distinct sites (fractional):
Cu 0.000 0.000 0.000 [1 per cell]
Mo 0.000 0.500 0.500 [2 per cell]
Cl 0.500 0.500 0.000 [1 per cell]

Summary:
**Raw total energy**: -5.973 eV/atom
**Energy above the lowest structure with this stoichiometry**: 66.7 kJ/mol of atoms
**Crystal system**: tetragonal
**Formation energy without anion corrections**: 3.711 eV per formula unit
**Size of the total moment**: 0.0 Bohr magnetons per cell
**DOS at the Fermi energy**: 2.05 states/eV/cell

(9)
Density functional theory data (PBE) for CuMo2Cl after structural relaxation.

Lattice parameters (Å, degrees): 3.069 4.362 11.317 90.00 90.00 90.00
Space group Imm2 (No. 44)
Symmetry-distinct sites (fractional):
Cu 0.000 0.000 0.000 [2 per cell]
Mo 0.000 0.000 0.523 [2 per cell]
Mo 0.000 0.500 0.864 [2 per cell]
Cl 0.000 0.500 0.235 [2 per cell]

Summary:
**Raw total energy**: -6.361 eV/atom
**Energy above the lowest structure with this stoichiometry**: 29.3 kJ/mol of atoms
**Crystal system**: orthorhombic
**Formation energy without anion corrections**: 2.160 eV per formula unit
**Size of the total moment**: 0.0 Bohr magnetons per cell
**DOS at the Fermi energy**: 4.67 states/eV/cell

(10)
Density functional theory data (PBE) for CuMoCl after structural relaxation.

Lattice parameters (Å, degrees): 5.879 5.879 5.879 90.00 90.00 90.00
Space group F-43m (No. 216)
Symmetry-distinct sites (fractional):
Cu 0.000 0.000 0.000 [4 per cell]
Mo 0.250 0.250 0.250 [4 per cell]
Cl 0.000 0.000 0.500 [4 per cell]

Summary:
**Raw total energy**: -4.708 eV/atom
**Energy above the lowest structure with this stoichiometry**: 63.9 kJ/mol of atoms
**Crystal system**: cubic
**Formation energy without anion corrections**: 2.649 eV per formula unit
**Size of the total moment**: 0.0 Bohr magnetons per cell
**DOS at the Fermi energy**: 4.48 states/eV/cell

(11)
Density functional theory data (PBE) for CuMoCl after structural relaxation.

Lattice parameters (Å, degrees): 2.9824 2.9824 6.4799 90.00 90.00 120.00
Space group P3m1 (No. 156)
Symmetry-distinct sites (fractional):
Cu 0.0000 0.0000 0.0000 [1 per cell]
Mo 0.6667 0.3333 0.3078 [1 per cell]
Cl 0.3333 0.6667 0.5827 [1 per cell]

Summary:
**Raw total energy**: -5.371 eV/atom
**Energy above the lowest structure with this stoichiometry**: 0.0 kJ/mol of atoms
**Crystal system**: trigonal
**Formation energy without anion corrections**: 0.661 eV per formula unit
**Size of the total moment**: 0.0 Bohr magnetons per cell
**DOS at the Fermi energy**: 3.42 states/eV/cell

(12)
Density functional theory data (PBE) for CuMo2Cl after structural relaxation.

Lattice parameters (Å, degrees): 5.328 8.341 2.736 90.00 90.00 90.00
Space group Cmmm (No. 65)
Symmetry-distinct sites (fractional):
Cu 0.000 0.000 0.000 [2 per cell]
Mo 0.250 0.250 0.500 [4 per cell]
Cl 0.000 0.500 0.000 [2 per cell]

Summary:
**Raw total energy**: -6.077 eV/atom
**Energy above the lowest structure with this stoichiometry**: 56.7 kJ/mol of atoms
**Crystal system**: orthorhombic
**Formation energy without anion corrections**: 3.296 eV per formula unit
**Size of the total moment**: 0.0 Bohr magnetons per cell
**DOS at the Fermi energy**: 5.25 states/eV/cell